! Y2AlRu2, relaxed, DFT GGA-PBE; values from VASP
&SYSTEM
  ibrav = 0, nat = 10, ntyp = 3
/
ATOMIC_SPECIES
Ru 101.07 Ru.upf
Al 26.98 Al.upf
Y 88.91 Y.upf
ATOMIC_POSITIONS angstrom
Ru 5.8887 4.3234 0.0000
Ru 0.9194 2.4847 0.0000
Ru 4.3234 0.9194 0.0000
Ru 2.4847 5.8887 0.0000
Al 3.4041 3.4041 0.0000
Al 0.0000 0.0000 0.0000
Y 5.6093 2.2052 2.1760
Y 4.6029 5.6093 2.1760
Y 1.1988 4.6029 2.1760
Y 2.2052 1.1988 2.1760
CELL_PARAMETERS angstrom
6.8081 0.0000 0.0000
0.0000 6.8081 0.0000
0.0000 0.0000 4.3519
! Uncorrected energy, eV/atom: -7.4898
! Symmetry: P4/mbm (127)
! E_form, eV/atom: -0.445
! Calculated volume, Å³ per atom: 20.17

---

! YAl11Ru, relaxed, DFT GGA-PBE; values from VASP
&SYSTEM
  ibrav = 0, nat = 13, ntyp = 3
/
ATOMIC_SPECIES
Y 88.91 Y.upf
Al 26.98 Al.upf
Ru 101.07 Ru.upf
ATOMIC_POSITIONS angstrom
Y 0.0000 0.0000 0.0000
Al 1.6654 -2.3736 4.0909
Al 3.7655 -6.3042 0.6486
Al 2.0624 -0.2088 2.7090
Al 5.9289 -7.4797 4.3158
Al 1.6251 -2.4891 1.3950
Al 3.4279 -6.4178 5.3706
Al 3.7885 -3.6646 5.0622
Al 2.4457 -4.7859 2.7576
Al 5.1083 -5.1828 2.9533
Al 4.1261 -3.5509 0.3403
Al 2.1116 -2.6107 -1.2355
Ru 1.7146 -4.7756 0.1465
CELL_PARAMETERS angstrom
-0.7939 -4.3297 2.7639
4.2232 -5.2215 -2.4709
4.1248 -0.4176 5.4179
! Uncorrected energy, eV/atom: -4.6428
! Symmetry: C2/m (12)
! E_form, eV/atom: -0.265
! Calculated volume, Å³ per atom: 17.01

---

! Y2AlRu2, relaxed, DFT GGA-PBE; values from VASP
&SYSTEM
  ibrav = 0, nat = 10, ntyp = 3
/
ATOMIC_SPECIES
Al 26.98 Al.upf
Ru 101.07 Ru.upf
Y 88.91 Y.upf
ATOMIC_POSITIONS angstrom
Al 6.4894 1.4760 5.7665
Al 3.5104 4.6681 2.0333
Ru 2.0915 3.5593 0.2248
Ru 5.1407 5.4328 3.8419
Ru 4.8590 0.7112 3.9580
Ru 7.9083 2.5848 7.5751
Y 3.6574 1.3054 1.1973
Y 3.5560 3.1267 4.9305
Y 6.3424 4.8387 6.6026
Y 6.4438 3.0174 2.8694
CELL_PARAMETERS angstrom
5.7100 0.2599 0.1667
2.8122 4.9763 0.1667
1.4776 0.9079 7.4665
! Uncorrected energy, eV/atom: -7.5332
! Symmetry: C2/c (15)
! E_form, eV/atom: -0.489
! Calculated volume, Å³ per atom: 20.51

---

! YAlRu, relaxed, DFT GGA-PBE; values from VASP
&SYSTEM
  ibrav = 0, nat = 3, ntyp = 3
/
ATOMIC_SPECIES
Y 88.91 Y.upf
Ru 101.07 Ru.upf
Al 26.98 Al.upf
ATOMIC_POSITIONS angstrom
Y 6.9421 4.0080 2.8341
Ru 4.6281 2.6720 1.8894
Al 0.0000 0.0000 0.0000
CELL_PARAMETERS angstrom
4.6281 0.0000 0.0000
2.3140 4.0080 0.0000
2.3140 1.3360 3.7788
! Uncorrected energy, eV/atom: -5.8535
! Symmetry: F-43m (216)
! E_form, eV/atom: 0.641
! Calculated volume, Å³ per atom: 23.36

---

- What is the formula in the third record?
  Y2AlRu2